1.
Pr3In: optimized geometry, PBE-GGA.

Unit cell a=5.6634 b=5.6634 c=5.6634 alpha=60.00 beta=60.00 gamma=60.00
Last column: nearest neighbours and their distance in Å.
Element x y z (fractional)
Pr  0.0000  0.0000  0.0000  8 Pr 3.47
Pr  0.7500  0.7500  0.7500  4 In 3.47, 4 Pr 3.47
Pr  0.2500  0.2500  0.2500  4 In 3.47, 4 Pr 3.47
In  0.5000  0.5000  0.5000  8 Pr 3.47

Energy of formation: -131 meV/atom
Density of states at the Fermi level: 6.49 states/eV/cell

=====

2.
LiRhO3: optimized geometry, PBE-GGA.

Unit cell a=3.4806 b=3.4806 c=3.4806 alpha=90.00 beta=90.00 gamma=90.00
Last column: nearest neighbours and their distance in Å.
Element x y z (fractional)
Rh  0.5000  0.5000  0.5000  12 O 2.46
O  0.0000  0.5000  0.0000  2 Li 1.74
O  0.0000  0.0000  0.5000  2 Li 1.74
O  0.5000  0.0000  0.0000  2 Li 1.74
Li  0.0000  0.0000  0.0000  6 O 1.74

Formation energy without anion corrections: 0.276 eV per atom
Density of states at the Fermi level: 6.97 states/eV/cell

=====

3.
CsPuTcN3: optimized geometry, PBE-GGA.

Unit cell a=3.8414 b=7.0070 c=8.3480 alpha=102.01 beta=90.00 gamma=105.91
Last column: nearest neighbours and their distance in Å.
Element x y z (fractional)
Cs  0.3599  0.7198  0.9340  2 N 3.02-3.14
Cs  0.6401  0.2802  0.0660  2 N 3.02-3.14
Pu  0.6586  0.3172  0.5740  7 N 2.28-2.54
Pu  0.3414  0.6828  0.4260  7 N 2.28-2.54
Tc  0.0058  0.0117  0.3562  4 N 1.93-2.16
Tc  0.9942  0.9883  0.6438  4 N 1.93-2.16
N  0.8549  0.7097  0.2681  1 Tc 2.01
N  0.8300  0.6600  0.5919  1 Tc 2.16, 3 Pu 2.28-2.39
N  0.5091  0.0182  0.3344  2 Tc 1.93
N  0.1700  0.3400  0.4081  1 Tc 2.16, 3 Pu 2.28-2.39
N  0.4909  0.9818  0.6656  2 Tc 1.93
N  0.1451  0.2903  0.7319  1 Tc 2.01

Formation energy without anion corrections: -0.448 eV per atom
Density of states at the Fermi level: 15.08 states/eV/cell

=====

4.
SrTh2Cl11: optimized geometry, PBE-GGA.

Unit cell a=10.6252 b=10.9875 c=10.9875 alpha=73.61 beta=61.09 gamma=61.09
Last column: nearest neighbours and their distance in Å.
Element x y z (fractional)
Sr  0.7500  0.7500  0.7500  8 Cl 3.00-3.13
Sr  0.2500  0.2500  0.2500  8 Cl 3.00-3.13
Th  0.6531  0.6916  0.3084  6 Cl 2.66-2.86
Th  0.3469  0.3084  0.6916  6 Cl 2.66-2.86
Th  0.8469  0.1916  0.8084  6 Cl 2.66-2.86
Th  0.1531  0.8084  0.1916  6 Cl 2.66-2.86
Cl  0.6380  0.7161  0.5500  1 Th 2.66
Cl  0.3620  0.2839  0.4500  1 Th 2.66
Cl  0.0960  0.5500  0.7161  1 Th 2.66
Cl  0.8620  0.9500  0.7839  1 Th 2.66
Cl  0.9040  0.4500  0.2839  1 Th 2.66
Cl  0.1380  0.0500  0.2161  1 Th 2.66
Cl  0.4040  0.7839  0.9500  1 Th 2.66
Cl  0.5960  0.2161  0.0500  1 Th 2.66
Cl  0.5000  0.5000  0.5000  2 Cl 2.88, 2 Th 3.00
Cl  0.0000  0.0000  0.0000  2 Cl 2.88, 2 Th 3.00
Cl  0.8851  0.8021  0.1979  2 Th 2.85-2.86, 1 Cl 2.88
Cl  0.1149  0.1979  0.8021  2 Th 2.85-2.86, 1 Cl 2.88
Cl  0.6149  0.3021  0.6979  2 Th 2.85-2.86, 1 Cl 2.88
Cl  0.3851  0.6979  0.3021  2 Th 2.85-2.86, 1 Cl 2.88
Cl  0.4680  0.9635  0.3124  1 Th 2.67
Cl  0.5320  0.0365  0.6876  1 Th 2.67
Cl  0.2560  0.3124  0.9635  1 Th 2.67
Cl  0.0320  0.1876  0.5365  1 Th 2.67
Cl  0.7440  0.6876  0.0365  1 Th 2.67
Cl  0.9680  0.8124  0.4635  1 Th 2.67
Cl  0.2440  0.5365  0.1876  1 Th 2.67
Cl  0.7560  0.4635  0.8124  1 Th 2.67

Formation energy without anion corrections: -1.967 eV per atom
Density of states at the Fermi level: 9.90 states/eV/cell

=====

5.
PaICl3: optimized geometry, PBE-GGA.

Unit cell a=8.1721 b=8.1721 c=9.8986 alpha=90.00 beta=90.00 gamma=112.89
Last column: nearest neighbours and their distance in Å.
Element x y z (fractional)
Pa  0.9155  0.0845  0.7500  4 Cl 2.53-2.73
Pa  0.0845  0.9155  0.2500  4 Cl 2.53-2.73
I  0.7025  0.2975  0.7500  1 Pa 2.90
I  0.2975  0.7025  0.2500  1 Pa 2.90
Cl  0.2095  0.3485  0.7500  1 Pa 2.53
Cl  0.6515  0.7905  0.7500  1 Pa 2.53
Cl  0.3485  0.2095  0.2500  1 Pa 2.53
Cl  0.7905  0.6515  0.2500  1 Pa 2.53
Cl  0.0000  0.0000  0.0000  2 Pa 2.73
Cl  0.0000  0.0000  0.5000  2 Pa 2.73

Relative energy among the computed polymorphs: 145 meV per atom
Formation energy without anion corrections: -1.457 eV per atom
Density of states at the Fermi level: 12.23 states/eV/cell

=====

6.
Pm3Th: optimized geometry, PBE-GGA.

Unit cell a=3.6320 b=3.6320 c=12.0298 alpha=81.32 beta=81.32 gamma=60.00
Last column: nearest neighbours and their distance in Å.
Element x y z (fractional)
Pm  0.7477  0.7477  0.7568  3 Th 3.56, 9 Pm 3.63-3.69
Pm  0.5000  0.5000  0.5000  12 Pm 3.63-3.69
Pm  0.2523  0.2523  0.2432  3 Th 3.56, 9 Pm 3.63-3.69
Th  0.0000  0.0000  0.0000  6 Pm 3.56, 6 Th 3.63

Relative energy among the computed polymorphs: 0 meV per atom
Energy of formation: 29 meV/atom
Density of states at the Fermi level: 6.22 states/eV/cell

=====

We obtain volume values of 32.11, 8.43, 17.58, 35.03, 60.90, 33.83 Å³/atom for the records listed above, in that order.